[1]
This record from the Alexandria database describes a geometry-optimized Pm12Si7Rh structure. The functional is PBE-GGA.

Properties
uncorrected energy = -111.8 eV for the cell shown

```
Pm12Si7Rh
1.0
-8.507 -2.462 -0.975
4.908 -3.783 -6.402
2.952 -2.711 7.957
Pm Si Rh
12 7 1
Cartesian
-3.562 -5.427 2.721 Pm
-3.841 -2.990 -1.356 Pm
-2.002 -2.206 1.509 Pm
-2.563 -6.438 -0.489 Pm
0.243 -2.931 4.109 Pm
-0.207 -6.402 2.688 Pm
-0.439 -2.553 -2.107 Pm
-0.890 -6.025 -3.529 Pm
1.916 -2.517 1.070 Pm
1.356 -6.750 -0.929 Pm
3.194 -5.966 1.937 Pm
2.915 -3.529 -2.141 Pm
5.988 -5.654 2.921 Si
0.726 -3.226 7.033 Si
5.130 -4.258 -3.994 Si
-0.323 -4.478 0.290 Si
-5.776 -4.697 4.574 Si
-1.373 -5.730 -6.453 Si
-6.635 -3.302 -2.340 Si
0.000 0.000 0.000 Rh
```

=====

[2]
This record from the Alexandria database describes a geometry-optimized YSc2HPb structure. The functional is PBE-GGA.

Properties
uncorrected energy = -28.0 eV for the cell shown

```
YSc2HPb
1.0
-1.495 -4.364 0.544
4.174 -1.227 1.628
-1.387 1.013 4.318
Pb Y Sc H
1 1 2 1
Cartesian
0.646 -2.289 3.245 Pb
-0.693 0.506 2.159 Y
2.087 -0.614 0.814 Sc
-0.748 -2.182 0.272 Sc
0.000 0.000 0.000 H
```

=====

[3]
This record from the Alexandria database describes a geometry-optimized LiZr2Te structure. The functional is PBE-GGA.

Properties
uncorrected energy = -23.8 eV for the cell shown

```
LiZr2Te
1.0
-2.260 -0.361 3.442
-1.785 -2.812 -1.467
2.825 -4.854 1.346
Li Te Zr
1 1 2
Cartesian
0.115 -4.294 -0.375 Li
0.001 -5.418 1.915 Te
1.003 -7.352 -0.112 Zr
-0.778 -2.462 1.713 Zr
```

=====

[4]
This record from the Alexandria database describes a geometry-optimized Ba2SrAgP structure. The functional is PBE-GGA.

Properties
uncorrected energy = -15.8 eV for the cell shown
energy of formation from the pure elements = -0.41 eV per atom

```
Ba2SrAgP
1.0
6.241 0.000 0.000
0.000 6.241 0.000
0.000 0.000 5.827
Sr Ba Ag P
1 2 1 1
Cartesian
0.000 0.000 2.914 Sr
0.000 3.121 0.000 Ba
3.121 0.000 0.000 Ba
3.121 3.121 2.914 Ag
0.000 0.000 0.000 P
```